[1]
5
Lattice="4.869 0.000 0.000 0.000 4.869 0.000 0.000 0.000 4.875" Properties=species:S:1:pos:R:3 comment="Zn2SbRhN, relaxed, DFT GGA-PBE" e_form_raw_mev_per_atom=957 vol_a3_per_atom=23.12 pbc="T T T"
Zn 0.000 2.434 0.000
Zn 2.434 0.000 0.000
Sb 0.000 0.000 2.438
Rh 0.000 0.000 0.000
N 2.434 2.434 2.438


[2]
4
Lattice="0.000 2.745 2.745 2.745 0.000 2.745 2.745 2.745 0.000" Properties=species:S:1:pos:R:3 comment="ScRhN2, relaxed, DFT GGA-PBE" e_form_raw_mev_per_atom=-44 vol_a3_per_atom=10.35 relative_energy_ev_per_atom=0.385 pbc="T T T"
Sc 0.000 0.000 0.000
Rh 2.745 2.745 2.745
N 1.373 1.373 1.373
N 4.118 4.118 4.118


[3]
5
Lattice="3.853 0.000 0.000 0.000 3.853 0.000 0.000 0.000 3.853" Properties=species:S:1:pos:R:3 comment="ScRhN3, relaxed, DFT GGA-PBE" e_form_raw_mev_per_atom=688 vol_a3_per_atom=11.44 pbc="T T T"
Sc 0.000 0.000 0.000
Rh 1.927 1.927 1.927
N 0.000 1.927 1.927
N 1.927 0.000 1.927
N 1.927 1.927 0.000


[4]
4
Lattice="1.635 0.944 5.904 -1.635 0.944 5.904 0.000 -1.888 5.904" Properties=species:S:1:pos:R:3 comment="ScRhN2, relaxed, DFT GGA-PBE" e_form_raw_mev_per_atom=-247 vol_a3_per_atom=13.67 relative_energy_ev_per_atom=0.183 pbc="T T T"
Sc 0.000 0.000 0.000
Rh 0.000 0.000 8.857
N 0.000 0.000 7.005
N 0.000 0.000 10.708


[5]
5
Lattice="4.117 0.000 0.000 0.000 4.117 0.000 0.000 0.000 4.117" Properties=species:S:1:pos:R:3 comment="ScRh3N, relaxed, DFT GGA-PBE" e_form_raw_mev_per_atom=-360 vol_a3_per_atom=13.95 relative_energy_ev_per_atom=0.000 pbc="T T T"
Sc 0.000 0.000 0.000
Rh 0.000 2.058 2.058
Rh 2.058 0.000 2.058
Rh 2.058 2.058 0.000
N 2.058 2.058 2.058


[6]
8
Lattice="-2.298 2.298 5.040 2.298 -2.298 5.040 2.298 2.298 -5.040" Properties=species:S:1:pos:R:3 comment="ScRhN2, relaxed, DFT GGA-PBE" e_form_raw_mev_per_atom=-430 vol_a3_per_atom=13.31 relative_energy_ev_per_atom=0.000 pbc="T T T"
Sc 0.000 0.000 0.000
Sc 0.000 2.298 2.520
Rh 2.298 0.000 2.520
Rh 0.000 0.000 5.040
N 1.149 -1.051 3.780
N 1.247 1.149 1.260
N 1.149 3.349 -1.260
N 1.051 1.149 6.300


[7]
5
Lattice="4.014 0.000 0.000 0.000 4.014 0.000 0.000 0.000 4.014" Properties=species:S:1:pos:R:3 comment="ScRhN3, relaxed, DFT GGA-PBE" e_form_raw_mev_per_atom=1498 vol_a3_per_atom=12.94 pbc="T T T"
Sc 0.000 0.000 0.000
Rh 2.007 2.007 2.007
N 0.000 0.000 2.007
N 0.000 2.007 0.000
N 2.007 0.000 0.000


[8]
5
Lattice="4.687 0.000 0.000 0.000 4.687 0.000 0.000 0.000 4.687" Properties=species:S:1:pos:R:3 comment="ScRh3N, relaxed, DFT GGA-PBE" e_form_raw_mev_per_atom=2068 vol_a3_per_atom=20.60 relative_energy_ev_per_atom=2.428 pbc="T T T"
Sc 0.000 0.000 0.000
Rh 0.000 0.000 2.344
Rh 0.000 2.344 0.000
Rh 2.344 0.000 0.000
N 2.344 2.344 2.344